## CsZrGa (GGA-PBE)

Data for a geometry-optimized CsZrGa structure.

Cell and atoms, written as extended XYZ:
```
12
Lattice="-2.196 -9.131 -0.787 1.527 -0.707 3.946 -10.565 2.155 4.474" Properties=species:S:1:pos:R:3 pbc="T T T"
Zr -4.693 -0.015 2.979
Zr -6.542 -7.669 4.655
Zr -1.325 -5.491 0.694
Ga -5.611 -0.952 5.498
Ga -9.870 -4.873 6.443
Cs -8.507 1.350 4.699
Cs -7.807 -3.582 3.544
Cs -3.428 -4.101 4.089
Cs -2.727 -9.034 2.934
Ga -5.623 -6.731 2.135
Zr -9.909 -2.192 6.939
Ga -1.364 -2.811 1.190
```

- formation energy from the elements (eV per atom) = 0.399
- DFT total energy (eV/cell) = -44.9
- M_tot (μB/atom) = 0.00

## CsZrGa3 (GGA-PBE)

Data for a geometry-optimized CsZrGa3 structure.

Cell and atoms, written as extended XYZ:
```
5
Lattice="5.526 0.000 0.000 0.000 5.526 0.000 0.000 0.000 5.526" Properties=species:S:1:pos:R:3 pbc="T T T"
Cs 0.000 0.000 0.000
Ga 0.000 2.763 0.000
Ga 2.763 0.000 0.000
Ga 0.000 0.000 2.763
Zr 2.763 2.763 2.763
```

- formation energy from the elements (eV per atom) = 1.639
- DFT total energy (eV/cell) = -10.3
- M_tot (μB/atom) = 0.00

## Cs2ZrGa2 (GGA-PBE)

Data for a geometry-optimized Cs2ZrGa2 structure.

Cell and atoms, written as extended XYZ:
```
10
Lattice="-7.083 6.688 -2.931 -6.424 -7.649 -1.929 -1.130 0.165 3.108" Properties=species:S:1:pos:R:3 pbc="T T T"
Cs -10.212 1.054 -3.769
Cs -5.246 3.223 -2.079
Cs -8.260 -4.184 -2.781
Zr 0.000 0.000 0.000
Ga -6.152 -3.911 -0.265
Ga -10.646 -1.701 -2.016
Ga -3.991 0.906 0.265
Cs -3.295 -2.015 -1.091
Ga -8.485 3.115 -1.487
Zr -6.753 -0.481 -2.430
```

- formation energy from the elements (eV per atom) = 0.895
- DFT total energy (eV/cell) = -23.7
- M_tot (μB/atom) = 0.09

## Cs2ZrGa (GGA-PBE)

Data for a geometry-optimized Cs2ZrGa structure.

Cell and atoms, written as extended XYZ:
```
4
Lattice="0.000 4.436 4.436 4.436 0.000 4.436 4.436 4.436 0.000" Properties=species:S:1:pos:R:3 pbc="T T T"
Zr 4.436 4.436 4.436
Cs 2.218 2.218 2.218
Cs 6.654 6.654 6.654
Ga 0.000 0.000 0.000
```

- formation energy from the elements (eV per atom) = 1.195
- DFT total energy (eV/cell) = -8.5
- M_tot (μB/atom) = 0.80

## CsZrGa (GGA-PBE)

Data for a geometry-optimized CsZrGa structure.

Cell and atoms, written as extended XYZ:
```
12
Lattice="-11.075 2.879 -3.763 0.113 -2.549 -2.283 -3.942 -6.271 6.806" Properties=species:S:1:pos:R:3 pbc="T T T"
Ga -1.829 -2.853 -0.756
Cs -3.787 -4.987 1.530
Cs -11.117 -0.953 -0.770
Ga -7.121 -3.865 2.679
Ga -7.783 -2.076 -1.918
Zr -8.484 -3.997 0.192
Zr -4.199 -7.428 4.235
Zr -6.420 -1.943 0.568
Zr -10.706 1.488 -3.475
Cs -10.826 -5.936 2.241
Cs -4.078 -0.004 -1.481
Ga -13.075 -3.088 1.517
```

- formation energy from the elements (eV per atom) = 0.406
- DFT total energy (eV/cell) = -44.8
- M_tot (μB/atom) = 0.00

## CsGdH (GGA-PBE)

Data for a geometry-optimized CsGdH structure.

Cell and atoms, written as extended XYZ:
```
6
Lattice="-2.574 2.693 -0.779 -1.038 -3.640 0.142 -2.887 1.380 14.311" Properties=species:S:1:pos:R:3 pbc="T T T"
H -1.562 1.075 -0.419
Cs -3.527 0.179 12.277
Cs -1.417 -0.830 1.815
Gd -3.200 1.129 5.181
Gd -3.806 1.419 8.187
H -2.989 -0.835 6.991
```

- DFT total energy (eV/cell) = -35.4
- M_tot (μB/atom) = 2.60

## CsGdHgSe3 (GGA-PBE)

Data for a geometry-optimized CsGdHgSe3 structure.

Cell and atoms, written as extended XYZ:
```
12
Lattice="4.340 0.000 0.000 -2.169 8.159 0.000 0.000 0.000 11.232" Properties=species:S:1:pos:R:3 pbc="T T T"
Se 0.001 6.215 6.095
Gd 0.000 0.000 5.616
Hg 0.002 7.436 8.424
Cs -0.004 4.165 2.808
Se 0.001 0.997 8.424
Gd 0.000 0.000 0.000
Se 2.170 1.944 0.479
Se 0.001 6.215 10.754
Se 2.170 1.944 5.137
Cs 2.174 3.994 8.424
Se 2.170 7.162 2.808
Hg 2.169 0.724 2.808
```

- energy relative to the elements, uncorrected (eV per atom) = -1.2523
- DFT total energy (eV/cell) = -66.4
- M_tot (μB/atom) = 1.17

## Cs2GdI4 (GGA-PBE)

Data for a geometry-optimized Cs2GdI4 structure.

Cell and atoms, written as extended XYZ:
```
7
Lattice="-2.101 -2.536 5.205 0.937 -5.613 -2.356 8.449 -4.092 5.060" Properties=species:S:1:pos:R:3 pbc="T T T"
Cs 5.347 -8.161 5.470
I 1.774 -8.154 4.031
I -1.050 -1.268 2.602
Cs 1.938 -4.079 2.439
I 0.469 -2.806 -1.178
I 5.511 -4.086 3.877
Gd 0.000 0.000 0.000
```

- energy relative to the elements, uncorrected (eV per atom) = -1.3877
- DFT total energy (eV/cell) = -31.7
- M_tot (μB/atom) = 1.06

## CsGdP4O12 (GGA-PBE)

Data for a geometry-optimized CsGdP4O12 structure.

Cell and atoms, written as extended XYZ:
```
72
Lattice="-7.366 5.017 -1.610 -4.432 -3.675 8.823 5.751 9.359 2.851" Properties=species:S:1:pos:R:3 pbc="T T T"
Cs -10.285 2.059 5.794
Gd 0.450 7.185 6.320
O -4.865 1.932 4.451
P -6.732 2.099 7.274
P -2.052 0.481 6.292
O -3.589 9.331 5.075
O -5.022 9.185 3.086
Gd 0.159 4.092 0.563
O 0.692 7.630 3.930
P -3.678 1.181 3.924
O -3.039 8.727 7.395
P 0.685 8.602 2.791
O -1.025 1.515 6.978
O -0.028 5.044 5.172
O -1.045 3.928 8.791
O -6.019 5.657 4.893
P -2.726 7.258 8.026
O -6.195 2.330 1.754
Gd -6.497 3.516 3.745
O 0.445 2.682 4.268
O 0.058 1.968 1.812
P -4.142 7.436 0.059
O -8.692 4.262 4.236
O 0.748 4.670 2.749
O -5.002 6.772 1.273
O -6.492 8.019 5.796
O -6.105 8.732 8.252
P 0.356 11.514 3.349
P -3.322 3.443 2.038
O 0.846 5.444 8.014
P -6.610 6.612 1.484
O -4.019 6.590 8.372
O -2.459 1.369 4.989
O 2.645 6.439 5.828
O -1.793 6.519 7.101
O 1.086 10.062 3.340
O -5.716 -1.067 8.027
Cs -2.455 6.711 3.406
O -2.788 10.364 2.899
O -5.513 2.010 8.144
P -6.849 6.436 5.873
Cs -3.592 3.989 6.658
O 3.433 6.265 2.166
O -0.535 8.691 1.920
O -2.256 10.951 6.560
O -3.259 0.336 7.165
O -9.480 4.436 7.899
O -6.739 3.070 6.135
O -3.038 2.527 9.362
O -6.893 5.257 2.050
P -2.369 9.519 6.140
P 0.801 4.264 4.191
O -4.254 4.181 2.964
Gd -6.206 6.608 9.501
O -7.134 0.639 6.724
O -3.008 1.974 2.669
P -1.906 3.265 10.005
P -6.403 -0.814 6.716
O -8.041 2.379 8.201
O 0.147 8.370 8.311
O -0.331 11.767 2.037
O -4.062 3.073 0.634
O -1.986 7.628 9.430
P 0.562 4.089 8.580
O -1.183 8.769 5.613
O 1.993 8.322 1.863
O -3.010 8.173 0.702
O -2.028 4.110 1.693
O -6.796 6.031 7.315
P -3.996 10.220 3.773
Cs 4.237 8.641 4.271
O -3.792 -0.251 3.504
```

- energy relative to the elements, uncorrected (eV per atom) = -2.4465
- DFT total energy (eV/cell) = -560.4
- M_tot (μB/atom) = 0.39

## Cs3GdP2O8 (GGA-PBE)

Data for a geometry-optimized Cs3GdP2O8 structure.

Cell and atoms, written as extended XYZ:
```
56
Lattice="10.477 0.000 0.013 0.000 10.557 0.000 -3.259 0.000 10.219" Properties=species:S:1:pos:R:3 pbc="T T T"
O 8.092 8.220 0.176
O 7.278 10.329 2.665
Cs 9.021 2.438 3.402
O -0.672 2.817 6.696
O 5.214 2.557 7.609
O 1.430 3.944 1.980
Gd 0.861 3.080 8.544
O -1.049 4.885 5.185
Cs 2.945 6.333 0.242
P 4.154 3.251 6.678
O 5.253 9.417 0.035
O 4.468 4.791 6.839
Gd 6.088 4.602 8.570
O 2.004 7.836 2.623
Cs -1.803 7.717 6.830
O 5.788 9.222 8.252
O -0.712 9.806 3.029
O 4.280 2.821 5.210
O 8.267 10.164 5.046
Cs 0.983 0.185 5.762
Cs 9.721 6.189 2.105
P 6.442 4.698 0.793
O 6.384 6.832 8.910
O 0.474 9.069 8.235
O 0.834 1.553 1.322
Cs -2.503 0.911 8.127
O 7.930 4.528 7.203
Gd 1.130 9.880 1.662
O -0.060 5.050 7.567
P 0.776 9.976 9.438
Cs 1.966 5.115 4.679
P 3.064 8.529 3.554
P 1.159 3.001 0.799
O 2.814 10.077 0.164
Gd 6.357 8.358 1.688
O 6.744 3.790 1.997
O 2.706 2.964 7.197
O 4.512 8.242 3.035
O 6.050 6.136 1.288
O 1.169 0.858 8.943
O 7.130 3.471 10.212
O 0.088 8.750 0.020
O 2.750 10.070 3.392
O 1.965 4.138 10.197
O 2.938 8.099 5.022
Cs 2.986 7.254 7.940
O 7.890 8.096 3.536
O 4.404 4.799 10.068
Cs 6.235 5.463 4.469
Cs 4.232 1.976 2.292
P -1.102 4.332 6.619
Cs 5.252 10.394 5.553
P 6.059 8.279 9.433
O -0.874 2.941 10.055
Cs 4.273 1.055 9.990
P 8.320 9.611 3.612
```

- energy relative to the elements, uncorrected (eV per atom) = -2.5512
- DFT total energy (eV/cell) = -411.4
- M_tot (μB/atom) = 0.49